Record 1
# MnCrGeF6 (PBE+U, optimized geometry)
# symmetry	No. 163
data_MnCrGeF6
_cell_length_a 5.5652
_cell_length_b 5.5652
_cell_length_c 9.5558
_cell_angle_alpha 90.00
_cell_angle_beta 90.00
_cell_angle_gamma 120.00
_symmetry_space_group_name_H-M 'P 1'
_symmetry_Int_Tables_number 1
_symmetry_space_group_name_Hall 'P 1'
loop_
_atom_site_label
_atom_site_fract_x
_atom_site_fract_y
_atom_site_fract_z
Mn1 0.3333 0.6667 0.2500
Mn2 0.6667 0.3333 0.7500
Cr1 0.3333 0.6667 0.7500
Cr2 0.6667 0.3333 0.2500
Ge1 0.0000 0.0000 0.0000
Ge2 0.0000 0.0000 0.5000
F1 0.0037 0.3437 0.6341
F2 0.0037 0.6600 0.8659
F3 0.3400 0.3437 0.8659
F4 0.3400 0.9963 0.6341
F5 0.3437 0.0037 0.1341
F6 0.3437 0.3400 0.3659
F7 0.6563 0.6600 0.6341
F8 0.6563 0.9963 0.8659
F9 0.6600 0.0037 0.3659
F10 0.6600 0.6563 0.1341
F11 0.9963 0.3400 0.1341
F12 0.9963 0.6563 0.3659

Record 2
# CrGeNF2 (PBE+U, optimized geometry)
# symmetry	No. 123
# ΔE to the lowest computed polymorph	0	meV per atom
data_CrGeNF2
_cell_length_a 3.8934
_cell_length_b 3.8934
_cell_length_c 4.1478
_cell_angle_alpha 90.00
_cell_angle_beta 90.00
_cell_angle_gamma 90.00
_symmetry_space_group_name_H-M 'P 1'
_symmetry_Int_Tables_number 1
_symmetry_space_group_name_Hall 'P 1'
loop_
_atom_site_label
_atom_site_fract_x
_atom_site_fract_y
_atom_site_fract_z
Cr1 0.0000 0.0000 0.0000
Ge1 0.5000 0.5000 0.5000
N1 0.0000 0.0000 0.5000
F1 0.0000 0.5000 0.0000
F2 0.5000 0.0000 0.0000

Record 3
# CrGeNF2 (PBE+U, optimized geometry)
# symmetry	No. 123
# ΔE to the lowest computed polymorph	143	meV per atom
data_CrGeNF2
_cell_length_a 4.1754
_cell_length_b 4.1754
_cell_length_c 3.6314
_cell_angle_alpha 90.00
_cell_angle_beta 90.00
_cell_angle_gamma 90.00
_symmetry_space_group_name_H-M 'P 1'
_symmetry_Int_Tables_number 1
_symmetry_space_group_name_Hall 'P 1'
loop_
_atom_site_label
_atom_site_fract_x
_atom_site_fract_y
_atom_site_fract_z
Cr1 0.0000 0.0000 0.0000
Ge1 0.5000 0.5000 0.5000
N1 0.5000 0.5000 0.0000
F1 0.0000 0.5000 0.5000
F2 0.5000 0.0000 0.5000

Record 4
# NbCr2GeF (PBE+U, optimized geometry)
# symmetry	No. 123
data_NbCr2GeF
_cell_length_a 4.3004
_cell_length_b 4.3004
_cell_length_c 4.5071
_cell_angle_alpha 90.00
_cell_angle_beta 90.00
_cell_angle_gamma 90.00
_symmetry_space_group_name_H-M 'P 1'
_symmetry_Int_Tables_number 1
_symmetry_space_group_name_Hall 'P 1'
loop_
_atom_site_label
_atom_site_fract_x
_atom_site_fract_y
_atom_site_fract_z
Nb1 0.0000 0.0000 0.0000
Cr1 0.0000 0.5000 0.5000
Cr2 0.5000 0.0000 0.5000
Ge1 0.5000 0.5000 0.0000
F1 0.0000 0.0000 0.5000

no.,E (eV/atom)
1,-5.735
2,-5.668
3,-5.525
4,-6.244